5
Lattice="4.594 0.000 0.000 0.000 4.594 0.000 0.000 0.000 4.939" Properties=species:S:1:pos:R:3 comment="PBE P2OsBrCl, relaxed" spacegroup="P4/mmm (123)" energy_ev_per_atom=-4.69 e_form_raw_ev_per_atom=0.423 crystal_system=tetragonal polymorph_energy_ev_per_atom=0.0000 pbc="T T T"
P 0.000 2.297 0.000
P 2.297 0.000 0.000
Os 0.000 0.000 0.000
Br 2.297 2.297 2.470
Cl 0.000 0.000 2.470